{
  "formula": "PmAl4Cu2",
  "functional": "PBE-GGA",
  "state": "optimized geometry",
  "delta_e_f_ev_per_atom": -0.389,
  "mass_density_g_cm3": 5.17,
  "dos_at_fermi_per_ev_atom": 0.3344,
  "spacegroup": "Pnma",
  "energy_ev_per_atom": -4.38,
  "lattice": [[4.107, 0.000, 0.000], [0.000, 6.994, 0.000], [0.000, 0.000, 16.988]],
  "species": ["Al", "Al", "Al", "Al", "Al", "Al", "Al", "Al", "Al", "Al", "Al", "Al", "Al", "Al", "Al", "Al", "Cu", "Cu", "Cu", "Cu", "Cu", "Cu", "Cu", "Cu", "Pm", "Pm", "Pm", "Pm"],
  "fractional_positions": [[0.250, 0.290, 0.698], [0.750, 0.710, 0.302], [0.750, 0.790, 0.802], [0.250, 0.210, 0.198], [0.250, 0.673, 0.690], [0.750, 0.327, 0.310], [0.750, 0.173, 0.810], [0.250, 0.827, 0.190], [0.250, 0.267, 0.537], [0.750, 0.733, 0.463], [0.750, 0.767, 0.963], [0.250, 0.233, 0.037], [0.250, 0.503, 0.406], [0.750, 0.497, 0.594], [0.750, 0.003, 0.094], [0.250, 0.997, 0.906], [0.250, 0.684, 0.540], [0.750, 0.316, 0.460], [0.750, 0.184, 0.960], [0.250, 0.816, 0.040], [0.250, 0.976, 0.762], [0.750, 0.024, 0.238], [0.750, 0.476, 0.738], [0.250, 0.524, 0.262], [0.750, 0.992, 0.618], [0.250, 0.008, 0.382], [0.250, 0.492, 0.882], [0.750, 0.508, 0.118]]
}